# HoCd2Pt2, optimized geometry, DFT PBE
# Density of states at the Fermi level (states/eV/cell): 5.01
# DFT total energy (eV/atom): -4.35
# Magnetization (μB per atom): 0.000
# Calculated density (Mg/m³): 12.09
data_HoCd2Pt2
_chemical_formula_sum 'Ho2 Cd4 Pt4'
_space_group_name_H-M_alt 'P 1 21/m 1'
_space_group_IT_number 11
_cell_length_a 5.504
_cell_length_b 4.618
_cell_length_c 8.813
_cell_angle_alpha 90.00
_cell_angle_beta 107.05
_cell_angle_gamma 90.00
loop_
_space_group_symop_operation_xyz
'x,y,z'
'-x,-y,-z'
'-x,y+1/2,-z'
'x,-y+1/2,z'
loop_
_atom_site_label
_atom_site_fract_x
_atom_site_fract_y
_atom_site_fract_z
Ho1 0.093 0.250 0.263
Cd1 0.335 0.250 0.948
Cd2 0.422 0.250 0.629
Pt1 0.136 0.750 0.478
Pt2 0.177 0.750 0.082

---

# HoPuCdPt, optimized geometry, DFT PBE
# Density of states at the Fermi level (states/eV/cell): 36.10
# DFT total energy (eV/atom): -6.95
# Magnetization (μB per atom): 1.396
# Calculated density (Mg/m³): 12.62
data_HoPuCdPt
_chemical_formula_sum 'Ho4 Pu4 Cd4 Pt4'
_space_group_name_H-M_alt 'F -4 3 m'
_space_group_IT_number 216
_space_group_name_Hall 'F -4 2 3'
_cell_length_a 7.224
_cell_length_b 7.224
_cell_length_c 7.224
_cell_angle_alpha 90.00
_cell_angle_beta 90.00
_cell_angle_gamma 90.00
loop_
_atom_site_label
_atom_site_fract_x
_atom_site_fract_y
_atom_site_fract_z
Ho1 0.000 0.000 0.000
Pu1 0.000 0.000 0.500
Cd1 0.250 0.250 0.750
Pt1 0.250 0.250 0.250

---

# HoScCdPt, optimized geometry, DFT PBE
# Density of states at the Fermi level (states/eV/cell): 12.50
# DFT total energy (eV/atom): -5.18
# Magnetization (μB per atom): 0.000
# Calculated density (Mg/m³): 10.02
data_HoScCdPt
_chemical_formula_sum 'Ho4 Sc4 Cd4 Pt4'
_space_group_name_H-M_alt 'F -4 3 m'
_space_group_IT_number 216
_space_group_name_Hall 'F -4 2 3'
_cell_length_a 7.000
_cell_length_b 7.000
_cell_length_c 7.000
_cell_angle_alpha 90.00
_cell_angle_beta 90.00
_cell_angle_gamma 90.00
loop_
_atom_site_label
_atom_site_fract_x
_atom_site_fract_y
_atom_site_fract_z
Ho1 0.000 0.000 0.000
Sc1 0.000 0.000 0.500
Cd1 0.250 0.250 0.250
Pt1 0.250 0.250 0.750

---

# SmHoCdPt, optimized geometry, DFT PBE
# Density of states at the Fermi level (states/eV/cell): 11.55
# DFT total energy (eV/atom): -4.76
# Magnetization (μB per atom): 0.000
# Calculated density (Mg/m³): 10.80
data_SmHoCdPt
_chemical_formula_sum 'Sm4 Ho4 Cd4 Pt4'
_space_group_name_H-M_alt 'F -4 3 m'
_space_group_IT_number 216
_space_group_name_Hall 'F -4 2 3'
_cell_length_a 7.262
_cell_length_b 7.262
_cell_length_c 7.262
_cell_angle_alpha 90.00
_cell_angle_beta 90.00
_cell_angle_gamma 90.00
loop_
_atom_site_label
_atom_site_fract_x
_atom_site_fract_y
_atom_site_fract_z
Sm1 0.000 0.000 0.000
Ho1 0.000 0.000 0.500
Cd1 0.250 0.250 0.750
Pt1 0.250 0.250 0.250

---

# TbHoCdPt, optimized geometry, DFT PBE
# Density of states at the Fermi level (states/eV/cell): 11.72
# DFT total energy (eV/atom): -4.77
# Magnetization (μB per atom): 0.000
# Calculated density (Mg/m³): 11.22
data_TbHoCdPt
_chemical_formula_sum 'Tb4 Ho4 Cd4 Pt4'
_space_group_name_H-M_alt 'F -4 3 m'
_space_group_IT_number 216
_space_group_name_Hall 'F -4 2 3'
_cell_length_a 7.202
_cell_length_b 7.202
_cell_length_c 7.202
_cell_angle_alpha 90.00
_cell_angle_beta 90.00
_cell_angle_gamma 90.00
loop_
_atom_site_label
_atom_site_fract_x
_atom_site_fract_y
_atom_site_fract_z
Tb1 0.000 0.000 0.000
Ho1 0.000 0.000 0.500
Cd1 0.250 0.250 0.250
Pt1 0.250 0.250 0.750

---

# HoTlCdPt, optimized geometry, DFT PBE
# Density of states at the Fermi level (states/eV/cell): 5.32
# DFT total energy (eV/atom): -3.95
# Magnetization (μB per atom): 0.000
# Calculated density (Mg/m³): 12.91
data_HoTlCdPt
_chemical_formula_sum 'Ho4 Tl4 Cd4 Pt4'
_space_group_name_H-M_alt 'F -4 3 m'
_space_group_IT_number 216
_space_group_name_Hall 'F -4 2 3'
_cell_length_a 7.036
_cell_length_b 7.036
_cell_length_c 7.036
_cell_angle_alpha 90.00
_cell_angle_beta 90.00
_cell_angle_gamma 90.00
loop_
_atom_site_label
_atom_site_fract_x
_atom_site_fract_y
_atom_site_fract_z
Ho1 0.000 0.000 0.000
Tl1 0.250 0.250 0.750
Cd1 0.000 0.000 0.500
Pt1 0.250 0.250 0.250

---

# YHoCdPt, optimized geometry, DFT PBE
# Density of states at the Fermi level (states/eV/cell): 12.37
# DFT total energy (eV/atom): -5.23
# Magnetization (μB per atom): 0.000
# Calculated density (Mg/m³): 10.00
data_YHoCdPt
_chemical_formula_sum 'Y4 Ho4 Cd4 Pt4'
_space_group_name_H-M_alt 'F -4 3 m'
_space_group_IT_number 216
_space_group_name_Hall 'F -4 2 3'
_cell_length_a 7.198
_cell_length_b 7.198
_cell_length_c 7.198
_cell_angle_alpha 90.00
_cell_angle_beta 90.00
_cell_angle_gamma 90.00
loop_
_atom_site_label
_atom_site_fract_x
_atom_site_fract_y
_atom_site_fract_z
Y1 0.000 0.000 0.000
Ho1 0.000 0.000 0.500
Cd1 0.250 0.250 0.750
Pt1 0.250 0.250 0.250

---

# Ho2Zn2CdPt5, optimized geometry, DFT PBE
# Density of states at the Fermi level (states/eV/cell): 8.17
# DFT total energy (eV/atom): -5.09
# Magnetization (μB per atom): 0.000
# Calculated density (Mg/m³): 14.42
data_Ho2Zn2CdPt5
_chemical_formula_sum 'Ho4 Zn4 Cd2 Pt10'
_space_group_name_H-M_alt 'P 4/m b m'
_space_group_IT_number 127
_space_group_name_Hall '-P 4 2ab'
_cell_length_a 9.601
_cell_length_b 9.601
_cell_length_c 3.869
_cell_angle_alpha 90.00
_cell_angle_beta 90.00
_cell_angle_gamma 90.00
loop_
_atom_site_label
_atom_site_fract_x
_atom_site_fract_y
_atom_site_fract_z
Ho1 0.177 0.323 0.000
Zn1 0.120 0.620 0.000
Cd1 0.000 0.000 0.000
Pt1 0.000 0.500 0.500
Pt2 0.069 0.793 0.500